Compound: Tl2Mo7O22
Source: Alexandria via LeMat-Bulk
Functional: GGA-PBEsol
Structure: relaxed

Lattice parameters (Å, degrees): 5.4615 10.9245 16.3150 86.91 80.36 75.52
Closest atoms and distances in Å follow each position.
Element x y z (fractional)
Mo 0.3709 0.6513 0.9747  2 O 1.70-1.72
Mo 0.6291 0.3487 0.0253  2 O 1.70-1.72
Mo 0.6915 0.6669 0.4075  2 O 1.70
Mo 0.3709 0.7500 0.2500  4 O 1.72-1.93
Mo 0.0031 0.1513 0.4747  2 O 1.70-1.72
Mo 0.6895 0.9665 0.3608  3 O 1.70-1.84
Mo 0.3085 0.3331 0.5925  2 O 1.70
Mo 0.6291 0.2500 0.7500  4 O 1.72-1.93
Mo 0.7659 0.8331 0.0925  2 O 1.70
Mo 0.3105 0.0335 0.6392  3 O 1.70-1.84
Mo 0.0167 0.5335 0.1392  3 O 1.70-1.84
Mo 0.9969 0.8487 0.5253  2 O 1.70-1.72
Mo 0.9833 0.4665 0.8608  3 O 1.70-1.84
Mo 0.2341 0.1669 0.9075  2 O 1.70
O 0.0642 0.0887 0.8605  1 Mo 1.70
O 0.9358 0.9113 0.1395  1 Mo 1.70
O 0.6112 0.8301 0.3195  1 Mo 1.84
O 0.2534 0.6504 0.1972  1 Mo 1.72
O 0.9549 0.3093 0.9533  2 Mo 1.92-1.96
O 0.5395 0.7167 0.0326  1 Mo 1.72
O 0.0719 0.4308 0.2200  1 Mo 1.70
O 0.0865 0.9881 0.5684  2 Mo 1.91-1.98
O 0.3570 0.4881 0.0684  2 Mo 1.91-1.98
O 0.7227 0.0692 0.2800  1 Mo 1.70
O 0.7300 0.9187 0.0029  1 Mo 1.70
O 0.9866 0.5887 0.3605  1 Mo 1.70
O 0.8535 0.4590 0.0832  1 Mo 1.73
O 0.6706 0.2449 0.1061  1 Mo 1.70
O 0.3888 0.1699 0.6805  1 Mo 1.84
O 0.7608 0.6699 0.1805  1 Mo 1.84
O 0.3958 0.0410 0.4168  1 Mo 1.73
O 0.4605 0.2833 0.9674  1 Mo 1.72
O 0.2175 0.1907 0.5467  2 Mo 1.92-1.96
O 0.1010 0.8496 0.3028  1 Mo 1.72
O 0.8990 0.1504 0.6972  1 Mo 1.72
O 0.4470 0.8726 0.1662  2 Mo 1.91-1.93
O 0.6430 0.5119 0.9316  2 Mo 1.91-1.98
O 0.4858 0.6274 0.3338  2 Mo 1.91-1.93
O 0.0216 0.2551 0.3939  1 Mo 1.70
O 0.5530 0.1274 0.8338  2 Mo 1.91-1.93
O 0.2773 0.9308 0.7200  1 Mo 1.70
O 0.3294 0.7551 0.8939  1 Mo 1.70
O 0.1465 0.5410 0.9168  1 Mo 1.73
O 0.0134 0.4113 0.6395  1 Mo 1.70
O 0.2888 0.7833 0.4674  1 Mo 1.72
O 0.7466 0.3496 0.8028  1 Mo 1.72
O 0.7112 0.2167 0.5326  1 Mo 1.72
O 0.7825 0.8093 0.4533  2 Mo 1.92-1.96
O 0.3484 0.4187 0.5029  1 Mo 1.70
O 0.2392 0.3301 0.8195  1 Mo 1.84
O 0.6516 0.5813 0.4971  1 Mo 1.70
O 0.9784 0.7449 0.6061  1 Mo 1.70
O 0.9135 0.0119 0.4316  2 Mo 1.91-1.98
O 0.9281 0.5692 0.7800  1 Mo 1.70
O 0.5142 0.3726 0.6662  2 Mo 1.91-1.93
O 0.2700 0.0813 0.9971  1 Mo 1.70
O 0.6042 0.9590 0.5832  1 Mo 1.73
O 0.0451 0.6907 0.0467  2 Mo 1.92-1.96
Tl 0.3919 0.3927 0.3362  5 O 2.66-2.82
Tl 0.6081 0.6073 0.6638  5 O 2.66-2.82
Tl 0.8791 0.8927 0.8362  5 O 2.66-2.82
Tl 0.1209 0.1073 0.1638  5 O 2.66-2.82

Summary:
Total energy: -8.4084 eV per atom
ρ: 5.12 g/cm³
Space group: No. 15
Energy relative to the elements, uncorrected: -1.8561 eV/atom

---

Compound: TlMo6O17
Source: Alexandria via LeMat-Bulk
Functional: GGA-PBEsol
Structure: relaxed

Lattice parameters (Å, degrees): 5.5203 5.5203 13.9389 90.00 90.00 120.00
Closest atoms and distances in Å follow each position.
Element x y z (fractional)
Mo 0.3333 0.6667 0.3602  4 O 1.73-1.77
Mo 0.0000 0.0000 0.2148  3 O 1.78
Mo 0.6667 0.3333 0.0698  6 O 1.87-2.00
Mo 0.6667 0.3333 0.6398  4 O 1.73-1.77
Mo 0.0000 0.0000 0.7852  3 O 1.78
Mo 0.3333 0.6667 0.9302  6 O 1.87-2.00
O 0.1637 0.3275 0.8463  1 Mo 1.78
O 0.6725 0.8363 0.8463  1 Mo 1.78
O 0.5000 0.5000 0.0000  2 Mo 1.87
O 0.1585 0.8415 0.3183  1 Mo 1.77
O 0.5000 0.0000 0.0000  2 Mo 1.87
O 0.8363 0.1637 0.1537  1 Mo 1.78
O 0.6667 0.3333 0.5160  1 Mo 1.73
O 0.8363 0.6725 0.1537  1 Mo 1.78
O 0.1637 0.8363 0.8463  1 Mo 1.78
O 0.6830 0.8415 0.3183  1 Mo 1.77
O 0.1585 0.3170 0.3183  1 Mo 1.77
O 0.3275 0.1637 0.1537  1 Mo 1.78
O 0.8415 0.6830 0.6817  1 Mo 1.77
O 0.3170 0.1585 0.6817  1 Mo 1.77
O 0.0000 0.5000 0.0000  2 Mo 1.87
O 0.8415 0.1585 0.6817  1 Mo 1.77
O 0.3333 0.6667 0.4840  1 Mo 1.73
Tl 0.0000 0.0000 0.5000  12 O 2.95-3.19

Summary:
Total energy: -8.7220 eV per atom
ρ: 4.75 g/cm³
Space group: No. 164
Energy relative to the elements, uncorrected: -1.9521 eV/atom

---

Compound: TlMoO2
Source: Alexandria via LeMat-Bulk
Functional: GGA-PBEsol
Structure: relaxed

Lattice parameters (Å, degrees): 3.1446 3.1446 7.7441 78.29 78.29 60.00
Closest atoms and distances in Å follow each position.
Element x y z (fractional)
O 0.0792 0.0792 0.7624  1 Mo 1.79
O 0.9208 0.9208 0.2376  1 Mo 1.79
Tl 0.5000 0.5000 0.5000  6 O 2.68
Mo 0.0000 0.0000 0.0000  2 O 1.79

Summary:
Total energy: -6.9165 eV per atom
ρ: 8.56 g/cm³
Space group: No. 166
Energy relative to the elements, uncorrected: -0.6923 eV/atom

---

Compound: TlMo3O9
Source: Alexandria via LeMat-Bulk
Functional: GGA-PBEsol
Structure: relaxed

Lattice parameters (Å, degrees): 6.3957 7.6878 8.3199 117.52 92.69 90.00
Closest atoms and distances in Å follow each position.
Element x y z (fractional)
Tl 0.1709 0.3036 0.6071  4 O 2.61-2.84
Tl 0.8291 0.6964 0.3929  4 O 2.61-2.84
O 0.4106 0.1572 0.8388  2 Mo 1.93-2.07
O 0.5191 0.2192 0.4384  1 Mo 1.71
O 0.7903 0.5764 0.6661  1 Mo 1.68
O 0.0000 0.7410 0.0000  2 Mo 1.87
O 0.5894 0.8428 0.1612  2 Mo 1.93-2.07
O 0.3086 0.0367 0.0734  2 Mo 2.04
O 0.7903 0.0896 0.6661  1 Mo 1.68
O 0.2097 0.4236 0.3339  1 Mo 1.68
O 0.9000 0.1477 0.2955  1 Mo 1.70
O 0.6914 0.9633 0.9266  2 Mo 2.04
O 0.7066 0.4605 0.9209  2 Mo 1.87
O 0.0000 0.2590 0.0000  2 Mo 1.87
O 0.2097 0.9104 0.3339  1 Mo 1.68
O 0.4809 0.7808 0.5616  1 Mo 1.71
O 0.1000 0.8523 0.7045  1 Mo 1.70
O 0.2934 0.5395 0.0791  2 Mo 1.87
O 0.4106 0.6816 0.8388  2 Mo 1.93-2.07
O 0.5894 0.3184 0.1612  2 Mo 1.93-2.07
Mo 0.3607 0.8813 0.7626  2 O 1.70-1.71
Mo 0.7319 0.2033 0.8856  3 O 1.68-1.87
Mo 0.2681 0.3177 0.1144  3 O 1.68-1.87
Mo 0.2681 0.7967 0.1144  3 O 1.68-1.87
Mo 0.7319 0.6823 0.8856  3 O 1.68-1.87
Mo 0.6393 0.1187 0.2374  2 O 1.70-1.71

Summary:
Total energy: -8.4098 eV per atom
ρ: 5.83 g/cm³
Space group: No. 12
Energy relative to the elements, uncorrected: -1.8577 eV/atom

---

Compound: TlMoO3
Source: Alexandria via LeMat-Bulk
Functional: GGA-PBEsol
Structure: relaxed

Lattice parameters (Å, degrees): 3.9590 3.9590 3.9590 90.00 90.00 90.00
Closest atoms and distances in Å follow each position.
Element x y z (fractional)
O 0.0000 0.0000 0.5000  2 Mo 1.98
O 0.0000 0.5000 0.0000  2 Mo 1.98
O 0.5000 0.0000 0.0000  2 Mo 1.98
Tl 0.5000 0.5000 0.5000  12 O 2.80
Mo 0.0000 0.0000 0.0000  6 O 1.98

Summary:
Total energy: -7.6139 eV per atom
ρ: 9.32 g/cm³
Space group: No. 221
Energy relative to the elements, uncorrected: -1.5847 eV/atom

---

Compound: Tl2Mo2O
Source: Alexandria via LeMat-Bulk
Functional: GGA-PBEsol
Structure: relaxed

Lattice parameters (Å, degrees): 3.4655 3.4655 8.2069 102.19 102.19 90.00
Closest atoms and distances in Å follow each position.
Element x y z (fractional)
Tl 0.5883 0.5883 0.1766  1 Tl 2.77, 4 O 2.81, 4 Mo 3.07
Tl 0.4117 0.4117 0.8234  1 Tl 2.77, 4 O 2.81, 4 Mo 3.07
Mo 0.2500 0.7500 0.5000  4 Mo 2.45
Mo 0.7500 0.2500 0.5000  4 Mo 2.45
O 0.0000 0.0000 0.0000  8 Tl 2.81

Summary:
Total energy: -6.1420 eV per atom
ρ: 10.89 g/cm³
Space group: No. 139
Energy relative to the elements, uncorrected: 0.6671 eV/atom

---

Compound: TlMoO2
Source: Alexandria via LeMat-Bulk
Functional: GGA-PBEsol
Structure: relaxed

Lattice parameters (Å, degrees): 4.0899 4.0899 4.0899 60.00 60.00 60.00
Closest atoms and distances in Å follow each position.
Element x y z (fractional)
O 0.7500 0.7500 0.7500  4 Tl 2.50, 4 Mo 2.50
O 0.2500 0.2500 0.2500  4 Mo 2.50, 4 Tl 2.50
Mo 0.0000 0.0000 0.0000  8 O 2.50
Tl 0.5000 0.5000 0.5000  8 O 2.50

Summary:
Total energy: -6.2109 eV per atom
ρ: 11.41 g/cm³
Space group: No. 225
Energy relative to the elements, uncorrected: 0.0132 eV/atom

---

Q: Number 1 is which compound?
A: Tl2Mo7O22

---

Q: Among the records above, which one has the highest total energy?
A: Tl2Mo2O

---

Q: What is the formula in the sixth record?
A: Tl2Mo2O